<one>
Material: CaRuAu2
Method: DFT, PBE-GGA
State: relaxed

Unit cell a=5.290 b=5.290 c=5.290 alpha=133.87 beta=133.87 gamma=67.28
Positions (direct):
Ca 0.000 0.000 0.000
Ru 0.250 0.750 0.500
Au 0.500 0.500 0.000
Au 0.750 0.250 0.500

Computed properties:
SG	I-4m2
density of states at the Fermi level	5.765	states/eV per cell
crystal system	tetragonal
spin magnetization	1.20	μB/cell

=====

<two>
Material: CaRuAu2
Method: DFT, PBE-GGA
State: relaxed

Unit cell a=5.231 b=5.231 c=5.144 alpha=101.35 beta=101.35 gamma=33.39
Positions (direct):
Ca 0.000 0.000 0.000
Ru 0.500 0.500 0.500
Au 0.234 0.234 0.730
Au 0.766 0.766 0.270

Computed properties:
SG	C2/m
density of states at the Fermi level	3.435	states/eV per cell
crystal system	monoclinic
spin magnetization	0.69	μB/cell

=====

Going by the energies, <one> is most stable and the next is 0.096 eV/atom up.

=====

<one>
Material: CaRu3Au
Method: DFT, PBE-GGA
State: relaxed

Unit cell a=4.930 b=4.930 c=4.930 alpha=90.00 beta=90.00 gamma=90.00
Positions (direct):
Ca 0.000 0.000 0.000
Ru 0.000 0.500 0.500
Ru 0.500 0.000 0.500
Ru 0.500 0.500 0.000
Au 0.500 0.500 0.500

Computed properties:
SG	Pm-3m
density of states at the Fermi level	7.401	states/eV per cell
crystal system	cubic
spin magnetization	5.44	μB/cell

=====

<two>
Material: CaRu3Au
Method: DFT, PBE-GGA
State: relaxed

Unit cell a=4.679 b=4.679 c=4.679 alpha=90.00 beta=90.00 gamma=90.00
Positions (direct):
Ca 0.000 0.000 0.000
Ru 0.000 0.000 0.500
Ru 0.000 0.500 0.000
Ru 0.500 0.000 0.000
Au 0.500 0.500 0.500

Computed properties:
SG	Pm-3m
density of states at the Fermi level	3.582	states/eV per cell
crystal system	cubic
spin magnetization	5.14	μB/cell

=====

Going by the energies, <one> is most stable and the next is 0.664 eV/atom up.

=====

<one>
Material: CaAuS3
Method: DFT, PBE-GGA
State: relaxed

Unit cell a=5.265 b=5.265 c=5.265 alpha=90.00 beta=90.00 gamma=90.00
Positions (direct):
Ca 0.000 0.000 0.000
Au 0.500 0.500 0.500
S 0.000 0.000 0.500
S 0.000 0.500 0.000
S 0.500 0.000 0.000

Computed properties:
SG	Pm-3m
density of states at the Fermi level	1.455	states/eV per cell
crystal system	cubic
spin magnetization	3.01	μB/cell

=====

<two>
Material: CaAuS3
Method: DFT, PBE-GGA
State: relaxed

Unit cell a=4.867 b=4.867 c=4.867 alpha=90.00 beta=90.00 gamma=90.00
Positions (direct):
Ca 0.000 0.000 0.000
Au 0.500 0.500 0.500
S 0.000 0.500 0.500
S 0.500 0.000 0.500
S 0.500 0.500 0.000

Computed properties:
SG	Pm-3m
density of states at the Fermi level	3.046	states/eV per cell
crystal system	cubic
spin magnetization	0.00	μB/cell

=====

Going by the energies, <two> is most stable and the next is 0.785 eV/atom up.

=====

<one>
Material: CaSbAu3
Method: DFT, PBE-GGA
State: relaxed

Unit cell a=7.540 b=7.622 c=8.542 alpha=90.00 beta=113.26 gamma=90.00
Positions (direct):
Ca 0.193 0.045 0.225
Ca 0.193 0.455 0.725
Ca 0.807 0.545 0.275
Ca 0.807 0.955 0.775
Sb 0.378 0.738 0.543
Sb 0.378 0.762 0.043
Sb 0.622 0.238 0.957
Sb 0.622 0.262 0.457
Au 0.020 0.678 0.052
Au 0.020 0.822 0.552
Au 0.215 0.072 0.863
Au 0.215 0.428 0.363
Au 0.391 0.127 0.622
Au 0.391 0.373 0.122
Au 0.609 0.627 0.878
Au 0.609 0.873 0.378
Au 0.785 0.572 0.637
Au 0.785 0.928 0.137
Au 0.980 0.178 0.448
Au 0.980 0.322 0.948

Computed properties:
SG	P2_1/c
density of states at the Fermi level	6.873	states/eV per cell
crystal system	monoclinic
spin magnetization	0.00	μB/cell

=====

<two>
Material: CaSbAu3
Method: DFT, PBE-GGA
State: relaxed

Unit cell a=5.227 b=5.227 c=5.227 alpha=90.00 beta=90.00 gamma=90.00
Positions (direct):
Ca 0.000 0.000 0.000
Sb 0.500 0.500 0.500
Au 0.000 0.500 0.500
Au 0.500 0.000 0.500
Au 0.500 0.500 0.000

Computed properties:
SG	Pm-3m
density of states at the Fermi level	2.407	states/eV per cell
crystal system	cubic
spin magnetization	0.00	μB/cell

=====

Going by the energies, <one> is most stable and the next is 0.372 eV/atom up.

=====

<one>
Material: CaSbAu3
Method: DFT, PBE-GGA
State: relaxed

Unit cell a=5.280 b=5.280 c=5.280 alpha=90.00 beta=90.00 gamma=90.00
Positions (direct):
Ca 0.000 0.000 0.000
Sb 0.500 0.500 0.500
Au 0.000 0.000 0.500
Au 0.000 0.500 0.000
Au 0.500 0.000 0.000

Computed properties:
SG	Pm-3m
density of states at the Fermi level	4.151	states/eV per cell
crystal system	cubic
spin magnetization	0.00	μB/cell

=====

<two>
Material: CaSbAu3
Method: DFT, PBE-GGA
State: relaxed

Unit cell a=5.888 b=7.310 c=5.428 alpha=90.00 beta=90.00 gamma=90.00
Positions (direct):
Ca 0.000 0.165 0.000
Ca 0.500 0.835 0.500
Sb 0.000 0.574 0.372
Sb 0.500 0.426 0.872
Au 0.000 0.921 0.545
Au 0.245 0.755 0.997
Au 0.255 0.245 0.497
Au 0.500 0.079 0.045
Au 0.745 0.245 0.497
Au 0.755 0.755 0.997

Computed properties:
SG	Pmn2_1
density of states at the Fermi level	3.035	states/eV per cell
crystal system	orthorhombic
spin magnetization	0.00	μB/cell

=====

Going by the energies, <two> is most stable and the next is 1.006 eV/atom up.

=====

<one>
Material: Ca2SbAu2
Method: DFT, PBE-GGA
State: relaxed

Unit cell a=5.834 b=5.834 c=5.834 alpha=135.16 beta=108.85 gamma=88.16
Positions (direct):
Ca 0.211 0.211 0.000
Ca 0.789 0.789 0.000
Sb 0.500 0.000 0.500
Au 0.205 0.500 0.705
Au 0.795 0.500 0.295

Computed properties:
SG	Immm
density of states at the Fermi level	1.639	states/eV per cell
crystal system	orthorhombic
spin magnetization	0.00	μB/cell

=====

<two>
Material: Ca2SbAu2
Method: DFT, PBE-GGA
State: relaxed

Unit cell a=8.464 b=8.464 c=3.676 alpha=90.00 beta=90.00 gamma=90.00
Positions (direct):
Ca 0.165 0.335 0.000
Ca 0.335 0.835 0.000
Ca 0.665 0.165 0.000
Ca 0.835 0.665 0.000
Sb 0.000 0.000 0.000
Sb 0.500 0.500 0.000
Au 0.124 0.624 0.500
Au 0.376 0.124 0.500
Au 0.624 0.876 0.500
Au 0.876 0.376 0.500

Computed properties:
SG	P4/mbm
density of states at the Fermi level	2.456	states/eV per cell
crystal system	tetragonal
spin magnetization	0.00	μB/cell

=====

<three>
Material: Ca2SbAu2
Method: DFT, PBE-GGA
State: relaxed

Unit cell a=5.893 b=5.893 c=5.893 alpha=122.23 beta=122.23 gamma=86.18
Positions (direct):
Ca 0.250 0.750 0.500
Ca 0.750 0.250 0.500
Sb 0.000 0.000 0.000
Au 0.347 0.347 0.000
Au 0.653 0.653 0.000

Computed properties:
SG	I4/mmm
density of states at the Fermi level	1.429	states/eV per cell
crystal system	tetragonal
spin magnetization	0.00	μB/cell

=====

<four>
Material: Ca2SbAu2
Method: DFT, PBE-GGA
State: relaxed

Unit cell a=8.106 b=8.106 c=3.795 alpha=90.00 beta=90.00 gamma=90.00
Positions (direct):
Ca 0.175 0.325 0.000
Ca 0.325 0.825 0.000
Ca 0.675 0.175 0.000
Ca 0.825 0.675 0.000
Sb 0.000 0.000 0.500
Sb 0.500 0.500 0.500
Au 0.123 0.623 0.500
Au 0.377 0.123 0.500
Au 0.623 0.877 0.500
Au 0.877 0.377 0.500

Computed properties:
SG	P4/mbm
density of states at the Fermi level	3.973	states/eV per cell
crystal system	tetragonal
spin magnetization	0.00	μB/cell

=====

Going by the energies, <one> is most stable and the next is 0.011 eV/atom up.

=====

<one>
Material: Ca3SbAu
Method: DFT, PBE-GGA
State: relaxed

Unit cell a=8.135 b=4.602 c=8.637 alpha=90.00 beta=110.80 gamma=90.00
Positions (direct):
Ca 0.067 0.250 0.235
Ca 0.321 0.250 0.939
Ca 0.340 0.750 0.591
Ca 0.660 0.250 0.409
Ca 0.679 0.750 0.061
Ca 0.933 0.750 0.765
Sb 0.349 0.750 0.201
Sb 0.651 0.250 0.799
Au 0.074 0.250 0.600
Au 0.926 0.750 0.400

Computed properties:
SG	P2_1/m
density of states at the Fermi level	4.745	states/eV per cell
crystal system	monoclinic
spin magnetization	0.00	μB/cell

=====

<two>
Material: Ca3SbAu
Method: DFT, PBE-GGA
State: relaxed

Unit cell a=5.577 b=5.577 c=5.577 alpha=90.00 beta=90.00 gamma=90.00
Positions (direct):
Ca 0.000 0.000 0.500
Ca 0.000 0.500 0.000
Ca 0.500 0.000 0.000
Sb 0.500 0.500 0.500
Au 0.000 0.000 0.000

Computed properties:
SG	Pm-3m
density of states at the Fermi level	5.659	states/eV per cell
crystal system	cubic
spin magnetization	0.00	μB/cell

=====

Going by the energies, <one> is most stable and the next is 0.319 eV/atom up.

=====

<one>
Material: CaSbTe2Au
Method: DFT, PBE-GGA
State: relaxed

Unit cell a=5.707 b=5.707 c=5.801 alpha=90.00 beta=90.00 gamma=90.00
Positions (direct):
Ca 0.000 0.000 0.000
Sb 0.000 0.000 0.500
Te 0.000 0.500 0.000
Te 0.500 0.000 0.000
Au 0.500 0.500 0.500

Computed properties:
SG	P4/mmm
density of states at the Fermi level	5.373	states/eV per cell
crystal system	tetragonal
spin magnetization	0.00	μB/cell

=====

<two>
Material: CaSbTe2Au
Method: DFT, PBE-GGA
State: relaxed

Unit cell a=5.658 b=5.658 c=5.197 alpha=90.00 beta=90.00 gamma=90.00
Positions (direct):
Ca 0.000 0.000 0.000
Sb 0.500 0.500 0.000
Te 0.000 0.500 0.500
Te 0.500 0.000 0.500
Au 0.500 0.500 0.500

Computed properties:
SG	P4/mmm
density of states at the Fermi level	3.554	states/eV per cell
crystal system	tetragonal
spin magnetization	0.00	μB/cell

=====

Going by the energies, <two> is most stable and the next is 0.661 eV/atom up.